Li6Si2Pd: relaxed, PBE.

abc: 5.0150 5.0167 5.0167
angles: 97.37 97.35 97.35
Last column: nearest neighbours and their distance in Å.
Fractional coordinates of all 9 atoms:
Li: 0.1692 0.8307 0.5001  5 Li 2.49-2.55
Li: 0.5000 0.1693 0.8307  5 Li 2.49-2.55
Li: 0.5000 0.8307 0.1693  5 Li 2.49-2.55
Li: 0.8308 0.1693 0.4999  5 Li 2.49-2.55
Li: 0.1692 0.5001 0.8307  5 Li 2.49-2.55
Li: 0.8308 0.4999 0.1693  5 Li 2.49-2.55
Si: 0.6703 0.6705 0.6705  1 Pd 2.47, 1 Si 2.55
Si: 0.3297 0.3295 0.3295  1 Pd 2.47, 1 Si 2.55
Pd: 0.0000 0.0000 0.0000  2 Si 2.47

Formation energy without anion corrections   -293 kJ/mol of formula units
Calculated volume   13.64 A^3/atom

---

NaAcEr2Se4: relaxed, PBE.

abc: 4.1406 7.4453 7.2091
angles: 71.49 90.00 90.00
Last column: nearest neighbours and their distance in Å.
Fractional coordinates of all 8 atoms:
Na: 0.0000 0.5000 0.5000  6 Se 3.03-3.06
Ac: 0.5000 0.5000 0.0000  6 Se 3.09-3.11
Se: 0.0000 0.2259 0.2662  3 Er 2.86-2.93, 1 Na 3.03, 2 Ac 3.11
Se: 0.5000 0.2279 0.7527  3 Er 2.86-2.90, 2 Na 3.06, 1 Ac 3.09
Se: 0.0000 0.7741 0.7338  3 Er 2.86-2.93, 1 Na 3.03, 2 Ac 3.11
Se: 0.5000 0.7721 0.2473  3 Er 2.86-2.90, 2 Na 3.06, 1 Ac 3.09
Er: 0.5000 0.0000 0.5000  6 Se 2.86
Er: 0.0000 0.0000 0.0000  6 Se 2.90-2.93

Formation energy without anion corrections   -1335 kJ/mol of formula units
Calculated volume   26.34 A^3/atom

---

TbCe5Ru4: relaxed, PBE.

abc: 6.7862 7.9556 9.5449
angles: 90.00 90.00 90.00
Last column: nearest neighbours and their distance in Å.
Fractional coordinates of all 20 atoms:
Ce: 0.7219 0.7333 0.6901  2 Ru 2.50-2.64
Ce: 0.2781 0.7667 0.8099  2 Ru 2.50-2.64
Ce: 0.2781 0.2333 0.1901  2 Ru 2.50-2.64
Ce: 0.2781 0.2333 0.8099  2 Ru 2.50-2.64
Ce: 0.7219 0.7333 0.3099  2 Ru 2.50-2.64
Ce: 0.8940 0.5000 0.0000  2 Ru 2.50
Ce: 0.7219 0.2667 0.6901  2 Ru 2.50-2.64
Ce: 0.7219 0.2667 0.3099  2 Ru 2.50-2.64
Ce: 0.1060 0.0000 0.5000  2 Ru 2.50
Ce: 0.2781 0.7667 0.1901  2 Ru 2.50-2.64
Ru: 0.4911 0.1778 0.5000  2 Ce 2.50
Ru: 0.5089 0.3222 0.0000  2 Ce 2.50
Ru: 0.5089 0.6778 0.0000  2 Ce 2.50
Ru: 0.9867 0.5000 0.7468  3 Ce 2.50-2.64
Ru: 0.9867 0.5000 0.2532  3 Ce 2.50-2.64
Ru: 0.0133 0.0000 0.2468  3 Ce 2.50-2.64
Ru: 0.0133 0.0000 0.7532  3 Ce 2.50-2.64
Ru: 0.4911 0.8222 0.5000  2 Ce 2.50
Tb: 0.2457 0.5000 0.5000  4 Ru 2.94-3.06
Tb: 0.7543 0.0000 0.0000  4 Ru 2.94-3.06

Calculated volume   25.77 A^3/atom
DFT formation energy   -1.76 eV/f.u.

---

Li2I2N: relaxed, PBE.

abc: 4.7394 4.7394 8.1032
angles: 73.00 73.00 90.00
Last column: nearest neighbours and their distance in Å.
Fractional coordinates of all 5 atoms:
I: 0.6508 0.6508 0.6983  4 Li 2.78
I: 0.3492 0.3492 0.3017  4 Li 2.78
N: 0.0000 0.0000 0.0000  8 I 4.02, 8 Li 4.38
Li: 0.7500 0.2500 0.5000  4 I 2.78
Li: 0.2500 0.7500 0.5000  4 I 2.78

Formation energy without anion corrections   37 kJ/mol of formula units
Calculated volume   33.14 A^3/atom
Offset from the most stable computed form   0.00 eV per formula unit

---

Tm2PaGa: relaxed, PBE.

abc: 3.3650 3.3650 8.7218
angles: 90.00 90.00 90.00
Last column: nearest neighbours and their distance in Å.
Fractional coordinates of all 4 atoms:
Tm: 0.0000 0.0000 0.2209  4 Ga 3.06, 4 Tm 3.36, 4 Pa 3.40
Tm: 0.0000 0.0000 0.7791  4 Ga 3.06, 4 Tm 3.36, 4 Pa 3.40
Ga: 0.5000 0.5000 0.0000  8 Tm 3.06, 4 Ga 3.36
Pa: 0.5000 0.5000 0.5000  4 Pa 3.36, 8 Tm 3.40

Calculated volume   24.69 A^3/atom
Offset from the most stable computed form   0.00 eV per formula unit
DFT formation energy   -0.75 eV/f.u.

---

TiNbCrPd: relaxed, PBE.

abc: 4.4459 4.4459 4.4459
angles: 60.00 60.00 60.00
Last column: nearest neighbours and their distance in Å.
Fractional coordinates of all 4 atoms:
Ti: 0.2500 0.2500 0.2500  4 Nb 2.72, 4 Pd 2.72
Pd: 0.5000 0.5000 0.5000  4 Cr 2.72, 4 Ti 2.72
Nb: 0.0000 0.0000 0.0000  4 Ti 2.72, 4 Cr 2.72
Cr: 0.7500 0.7500 0.7500  4 Pd 2.72, 4 Nb 2.72

Calculated volume   15.54 A^3/atom
DFT formation energy   -0.34 eV/f.u.

---

MgMn2Cr2: relaxed, PBE.

abc: 7.1636 7.1636 2.7525
angles: 90.00 90.00 90.00
Last column: nearest neighbours and their distance in Å.
Fractional coordinates of all 10 atoms:
Mn: 0.3487 0.1513 0.5000  6 Cr 2.51, 2 Mn 2.75
Mn: 0.6513 0.8487 0.5000  6 Cr 2.51, 2 Mn 2.75
Mn: 0.8487 0.3487 0.5000  6 Cr 2.51, 2 Mn 2.75
Mn: 0.1513 0.6513 0.5000  6 Cr 2.51, 2 Mn 2.75
Cr: 0.3587 0.8587 0.0000  6 Mn 2.51, 2 Cr 2.75, 2 Mg 2.76
Cr: 0.1413 0.3587 0.0000  6 Mn 2.51, 2 Cr 2.75, 2 Mg 2.76
Cr: 0.8587 0.6413 0.0000  6 Mn 2.51, 2 Cr 2.75, 2 Mg 2.76
Cr: 0.6413 0.1413 0.0000  6 Mn 2.51, 2 Cr 2.75, 2 Mg 2.76
Mg: 0.5000 0.5000 0.0000  2 Mg 2.75, 4 Cr 2.76, 8 Mn 3.05
Mg: 0.0000 0.0000 0.0000  2 Mg 2.75, 4 Cr 2.76, 8 Mn 3.05

Calculated volume   14.12 A^3/atom
Offset from the most stable computed form   0.00 eV per formula unit
DFT formation energy   1.22 eV/f.u.

---

CeDy3Pu2S6: relaxed, PBE.

abc: 6.8021 6.8021 6.8753
angles: 99.49 99.49 120.00
Last column: nearest neighbours and their distance in Å.
Fractional coordinates of all 12 atoms:
S: 0.7487 0.7487 0.2565  3 Dy 2.74-2.77, 2 Pu 2.81, 1 Ce 2.83
S: 0.9144 0.5777 0.7435  3 Dy 2.75-2.77, 2 Pu 2.80, 1 Ce 2.83
S: 0.0856 0.4223 0.2565  3 Dy 2.75-2.77, 2 Pu 2.80, 1 Ce 2.83
S: 0.2513 0.2513 0.7435  3 Dy 2.74-2.77, 2 Pu 2.81, 1 Ce 2.83
S: 0.4223 0.0856 0.2565  3 Dy 2.75-2.77, 2 Pu 2.80, 1 Ce 2.83
S: 0.5777 0.9144 0.7435  3 Dy 2.75-2.77, 2 Pu 2.80, 1 Ce 2.83
Pu: 0.6670 0.3330 0.0000  6 S 2.80-2.81
Pu: 0.3330 0.6670 0.0000  6 S 2.80-2.81
Dy: 0.5000 0.5000 0.5000  6 S 2.74-2.77
Dy: 0.1664 0.8336 0.5000  6 S 2.75-2.77
Dy: 0.8336 0.1664 0.5000  6 S 2.75-2.77
Ce: 0.0000 0.0000 0.0000  6 S 2.83

Formation energy without anion corrections   -2260 kJ/mol of formula units
Calculated volume   21.67 A^3/atom

---

Dy4Pb3O2: relaxed, PBE.

abc: 7.1959 7.1959 9.1416
angles: 66.78 66.78 30.65
Last column: nearest neighbours and their distance in Å.
Fractional coordinates of all 9 atoms:
Pb: 0.0000 0.0000 0.0000  6 Dy 3.24-3.56
Pb: 0.4132 0.4132 0.7293  7 Dy 3.23-3.61
Pb: 0.5868 0.5868 0.2707  7 Dy 3.23-3.61
O: 0.2990 0.2990 0.3797  4 Dy 2.19-2.28
O: 0.7010 0.7010 0.6203  4 Dy 2.19-2.28
Dy: 0.8694 0.8694 0.4261  3 O 2.26-2.28
Dy: 0.7067 0.7067 0.8560  1 O 2.19
Dy: 0.1306 0.1306 0.5739  3 O 2.26-2.28
Dy: 0.2933 0.2933 0.1440  1 O 2.19

Formation energy without anion corrections   -1375 kJ/mol of formula units
Calculated volume   24.47 A^3/atom

---

Fe4CoIr: relaxed, PBE.

abc: 2.8855 4.8742 5.7979
angles: 72.82 90.00 72.78
Last column: nearest neighbours and their distance in Å.
Fractional coordinates of all 6 atoms:
Co: 0.5006 0.4954 0.5019  8 Fe 2.50-2.52
Ir: 0.5006 0.4954 0.0018  8 Fe 2.56-2.57
Fe: 0.1716 0.1534 0.8278  4 Fe 2.49-2.55, 2 Co 2.52, 2 Ir 2.57
Fe: 0.8295 0.8374 0.1759  4 Fe 2.49-2.55, 2 Co 2.52, 2 Ir 2.57
Fe: 0.1685 0.1595 0.3450  4 Fe 2.45-2.49, 2 Co 2.50, 2 Ir 2.56
Fe: 0.8326 0.8313 0.6587  4 Fe 2.45-2.49, 2 Co 2.50, 2 Ir 2.56

Calculated volume   12.35 A^3/atom
Offset from the most stable computed form   0.00 eV per formula unit
DFT formation energy   -0.22 eV/f.u.

---

PuNp6S8: relaxed, PBE.

abc: 7.8225 7.8225 7.8225
angles: 60.00 60.00 60.00
Last column: nearest neighbours and their distance in Å.
Fractional coordinates of all 15 atoms:
S: 0.7500 0.7500 0.7500  6 Np 2.77
S: 0.7498 0.2502 0.7498  4 Np 2.77, 1 Pu 2.77
S: 0.2502 0.7498 0.2502  4 Np 2.77, 1 Pu 2.77
S: 0.2502 0.2502 0.7498  4 Np 2.77, 1 Pu 2.77
S: 0.2502 0.7498 0.7498  4 Np 2.77, 1 Pu 2.77
S: 0.7498 0.7498 0.2502  4 Np 2.77, 1 Pu 2.77
S: 0.7498 0.2502 0.2502  4 Np 2.77, 1 Pu 2.77
S: 0.2500 0.2500 0.2500  6 Np 2.77
Pu: 0.0000 0.0000 0.0000  6 S 2.77
Np: 0.5000 0.0000 0.5000  6 S 2.77
Np: 0.5000 0.5000 0.0000  6 S 2.77
Np: 0.5000 0.0000 0.0000  6 S 2.77
Np: 0.0000 0.0000 0.5000  6 S 2.77
Np: 0.0000 0.5000 0.0000  6 S 2.77
Np: 0.0000 0.5000 0.5000  6 S 2.77

Formation energy without anion corrections   -2077 kJ/mol of formula units
Calculated volume   22.56 A^3/atom

---

Sc2Be2Os: relaxed, PBE.

abc: 6.4108 6.4108 3.5978
angles: 90.00 90.00 90.00
Last column: nearest neighbours and their distance in Å.
Fractional coordinates of all 10 atoms:
Be: 0.3828 0.8828 0.0000  1 Be 2.13
Be: 0.6172 0.1172 0.0000  1 Be 2.13
Be: 0.1172 0.3828 0.0000  1 Be 2.13
Be: 0.8828 0.6172 0.0000  1 Be 2.13
Os: 0.5000 0.5000 0.0000  4 Be 2.57
Os: 0.0000 0.0000 0.0000  4 Be 2.57
Sc: 0.3127 0.1873 0.5000  6 Be 2.53-2.69
Sc: 0.1873 0.6873 0.5000  6 Be 2.53-2.69
Sc: 0.8127 0.3127 0.5000  6 Be 2.53-2.69
Sc: 0.6873 0.8127 0.5000  6 Be 2.53-2.69

Calculated volume   14.79 A^3/atom
Offset from the most stable computed form   0.00 eV per formula unit
DFT formation energy   -0.71 eV/f.u.

---

no.,total DFT energy (no corrections) (eV per atom),Fermi-level density of states (states/eV per atom)
1,-3.395,0.28
2,-5.291,0.32
3,-7.316,1.79
4,-2.973,0.00
5,-5.553,1.24
6,-8.281,1.07
7,-7.592,0.73
8,-8.049,1.61
9,-5.967,0.41
10,-8.340,0.79
11,-9.768,3.11
12,-6.411,0.94